*A*
## Tb3Er4Tm8 (PBE)

Data for a relaxed Tb3Er4Tm8 crystal.

Cell lengths 6.8311, 6.8311, 34.7371 Å; angles 90.00, 90.00, 120.00 degrees
Closest atoms and distances in Å follow each position.
Space group R-3m (No. 166, hexagonal axes)
One atom of each set of equivalent atoms:
Tb: 0.0000 0.5000 0.0000 [9 per cell]  6 Tm 3.37-3.50, 4 Tb 3.42, 2 Er 3.42
Er: 0.0000 0.0000 0.0000 [3 per cell]  6 Tb 3.42, 6 Tm 3.51
Er: 0.0000 0.0000 0.1636 [6 per cell]  4 Tm 3.17-3.42
Er: 0.0000 0.0000 0.5000 [3 per cell]  6 Tm 3.50
Tm: 0.0000 0.0000 0.2548 [6 per cell]  1 Er 3.17, 3 Tb 3.37, 6 Tm 3.42
Tm: 0.0012 0.5006 0.2500 [18 per cell]  6 Tm 3.40-3.43, 3 Er 3.42-3.51, 2 Tb 3.50

Output
The calculation puts the volume at 31.20 A^3/atom. The value obtained for the total magnetic moment is 0.025 μB/f.u.

*B*
## Tb3Er4Tm8 (PBE)

Data for a relaxed Tb3Er4Tm8 crystal.

Cell lengths 13.1523, 12.7443, 6.6156 Å; angles 90.00, 120.10, 90.00 degrees
Closest atoms and distances in Å follow each position.
Space group C2/m (No. 12)
One atom of each set of equivalent atoms:
Tb: 0.0000 0.0000 0.0000 [2 per cell]  6 Tm 3.17-3.18
Tb: 0.2500 0.2500 0.0000 [4 per cell]  4 Tm 3.19-3.29, 2 Er 3.31
Er: 0.0000 0.5000 0.0000 [2 per cell]  6 Tm 3.20-3.42, 2 Er 3.31
Er: 0.0000 0.5000 0.5000 [2 per cell]  2 Er 3.31, 4 Tm 3.44-3.51
Er: 0.2500 0.2500 0.5000 [4 per cell]  4 Tm 3.19-3.29, 2 Tb 3.31
Tm: 0.0000 0.1390 0.5000 [4 per cell]  7 Tm 3.54-3.60, 2 Er 3.58, 4 Tb 3.58-3.75
Tm: 0.0000 0.2487 0.0000 [4 per cell]  3 Tb 3.17-3.29, 3 Er 3.20-3.29
Tm: 0.2331 0.0000 0.9677 [4 per cell]  4 Tm 3.18-3.55, 3 Tb 3.18-3.19, 2 Er 3.41-3.51
Tm: 0.2362 0.0000 0.4907 [4 per cell]  1 Tb 3.17, 2 Tm 3.18-3.44, 4 Er 3.19-3.44

Output
The calculation puts the volume at 31.98 A^3/atom. The value obtained for the total magnetic moment is 0.007 μB/f.u.

Most stable of them? *A*.